Below is KPrVS4 after structural relaxation, with properties calculated at the PBE level.

Lattice parameters (Å, degrees): 6.717 6.578 8.842 90.00 107.30 90.00
Positions (direct):
K 0.225 0.250 0.435
K 0.775 0.750 0.565
Pr 0.271 0.250 0.950
Pr 0.729 0.750 0.050
V 0.275 0.750 0.180
V 0.725 0.250 0.820
S 0.078 0.750 0.339
S 0.091 0.750 0.929
S 0.499 0.504 0.782
S 0.499 0.996 0.782
S 0.501 0.004 0.218
S 0.501 0.496 0.218
S 0.909 0.250 0.071
S 0.922 0.250 0.661

Computed properties:
D(E_F)	0.72	states/eV per atom
E_form (uncorrected)	-1380	meV/atom